Entry 1:
Entry from the Alexandria database: a geometry-optimized BeNiIr2 structure (PBE-GGA).

Output
- Size of the total moment: 0.000 μB/cell
- Energy of formation from the pure elements: -0.14 eV per atom

Cell: 3.8577 2.6943 9.3386 Å, 90.00 90.00 90.00°
With the nearest neighbours (Å) after each atom.
Space group Amm2 (No. 38)
One atom of each set of equivalent atoms:
Be 0.0000 0.0000 0.0000  2 Ni 2.25, 1 Ir 2.42
Ni 0.5000 0.0000 0.8761  2 Be 2.25, 1 Ir 2.49
Ir 0.0000 0.0000 0.2592  3 Be 2.42-2.62, 4 Ni 2.59, 2 Ir 2.69
Ir 0.5000 0.0000 0.6092  3 Ni 2.49-2.56, 4 Be 2.56, 6 Ir 2.69-2.74


Entry 2:
Entry from the Alexandria database: a geometry-optimized LaHo2Mg3 structure (PBE-GGA).

Output
- Size of the total moment: 0.000 μB/cell
- Energy of formation from the pure elements: -0.08 eV per atom

Cell: 3.8252 3.8252 11.5771 Å, 90.00 90.00 90.00°
With the nearest neighbours (Å) after each atom.
Space group P4/mmm (No. 123)
One atom of each set of equivalent atoms:
La 0.0000 0.0000 0.0000  8 Mg 3.43, 4 La 3.83
Ho 0.0000 0.0000 0.3406  8 Mg 3.27
Mg 0.5000 0.5000 0.1820  4 Ho 3.27, 4 La 3.43
Mg 0.5000 0.5000 0.5000  8 Ho 3.27


Entry 3:
Entry from the Alexandria database: a geometry-optimized SrMg2SiRh structure (PBE-GGA).

Output
- Size of the total moment: 0.000 μB/cell
- Energy relative to the elements, uncorrected: -0.348 eV per atom

Cell: 5.0106 5.0106 4.6585 Å, 90.00 90.00 90.00°
With the nearest neighbours (Å) after each atom.
Space group P4/mmm (No. 123)
One atom of each set of equivalent atoms:
Sr 0.0000 0.0000 0.0000  8 Mg 3.42, 4 Si 3.54
Mg 0.0000 0.5000 0.5000  2 Rh 2.51
Si 0.5000 0.5000 0.0000  2 Rh 2.33
Rh 0.5000 0.5000 0.5000  2 Si 2.33, 4 Mg 2.51


Entry 4:
Entry from the Alexandria database: a geometry-optimized ZrTaSe2 structure (PBE-GGA).

Output
- Size of the total moment: 0.000 μB/cell
- Relative energy among the computed polymorphs: 91 meV per atom
- Energy relative to the elements, uncorrected: -0.652 eV per atom

Cell: 3.4663 3.4663 26.4023 Å, 90.00 90.00 120.00°
With the nearest neighbours (Å) after each atom.
Space group R3m (No. 160, hexagonal axes)
One atom of each set of equivalent atoms:
Zr 0.0000 0.0000 0.0000  3 Se 2.65
Ta 0.0000 0.0000 0.7549  3 Se 2.60
Se 0.0000 0.0000 0.2676  3 Zr 2.65
Se 0.0000 0.0000 0.4844  3 Ta 2.60


Entry 5:
Entry from the Alexandria database: a geometry-optimized Y2Hf2Ge structure (PBE-GGA).

Output
- Size of the total moment: 0.000 μB/cell
- Energy of formation from the pure elements: -0.09 eV per atom
- Relative energy among the computed polymorphs: 0 meV per atom

Cell: 7.2205 7.2205 4.9017 Å, 90.00 90.00 90.00°
With the nearest neighbours (Å) after each atom.
Space group P4/mbm (No. 127)
One atom of each set of equivalent atoms:
Y 0.1573 0.3427 0.0000  6 Hf 3.18-3.28, 1 Y 3.21
Hf 0.1441 0.6441 0.5000  2 Ge 2.77, 1 Hf 2.94
Ge 0.0000 0.0000 0.5000  4 Hf 2.77


Entry 6:
Entry from the Alexandria database: a geometry-optimized Os2RuCl structure (PBE-GGA).

Output
- Size of the total moment: 0.000 μB/cell
- Relative energy among the computed polymorphs: 393 meV per atom
- Energy relative to the elements, uncorrected: 0.901 eV per atom

Cell: 2.8244 4.0661 5.2119 Å, 90.00 105.03 90.00°
With the nearest neighbours (Å) after each atom.
Space group P2/m (No. 10)
One atom of each set of equivalent atoms:
Os 0.1383 0.0000 0.2566  2 Cl 2.47, 1 Os 2.58
Ru 0.5000 0.5000 0.0000  2 Cl 2.61, 8 Os 2.77-2.81, 2 Ru 2.82
Cl 0.5000 0.5000 0.5000  4 Os 2.47, 2 Ru 2.61